# 1
Computed, not measured: a relaxed structure of AcZnGa at the PBE level of DFT.

Calculated values
Polymorph energy (0 for the lowest one) in meV/atom: 0
VASP energy in eV per cell: -19.6
ΔH_f (0 K) in kJ/mol of atoms: -44.7
Theoretical density in g/cm3: 7.7

Cell lengths 4.6118, 4.6118, 8.4501 Å; angles 90.00, 90.00, 120.00 degrees
Closest atoms and distances in Å follow each position.
Fractional coordinates of all 6 atoms:
Ac1 0.0000 0.0000 0.0000  6 Zn 3.40, 6 Ga 3.40
Ac2 0.0000 0.0000 0.5000  6 Ga 3.40, 6 Zn 3.40
Zn1 0.3333 0.6667 0.2500  3 Ga 2.66
Zn2 0.6667 0.3333 0.7500  3 Ga 2.66
Ga1 0.3333 0.6667 0.7500  3 Zn 2.66
Ga2 0.6667 0.3333 0.2500  3 Zn 2.66

---

# 2
Computed, not measured: a relaxed structure of GaNi7Sb2 at the PBE level of DFT.

Calculated values
VASP energy in eV per cell: -53.4
Theoretical density in g/cm3: 8.5

Cell lengths 11.0214, 11.0214, 11.0214 Å; angles 161.03, 161.03, 26.96 degrees
Closest atoms and distances in Å follow each position.
Fractional coordinates of all 10 atoms:
Ga1 0.0000 0.0000 0.0000  12 Ni 2.51-2.57
Ni1 0.0810 0.5810 0.5000  6 Ni 2.51-2.57, 2 Ga 2.51, 2 Sb 2.56
Ni2 0.2500 0.7500 0.5000  4 Sb 2.57, 4 Ni 2.57
Ni3 0.4190 0.9190 0.5000  6 Ni 2.51-2.57, 2 Ga 2.51, 2 Sb 2.56
Ni4 0.5000 0.5000 0.0000  8 Ni 2.51, 4 Ga 2.57
Ni5 0.5810 0.0810 0.5000  6 Ni 2.51-2.57, 2 Ga 2.51, 2 Sb 2.56
Ni6 0.7500 0.2500 0.5000  4 Sb 2.57, 4 Ni 2.57
Ni7 0.9190 0.4190 0.5000  6 Ni 2.51-2.57, 2 Ga 2.51, 2 Sb 2.56
Sb1 0.3347 0.3347 0.0000  8 Ni 2.56-2.57
Sb2 0.6653 0.6653 0.0000  8 Ni 2.56-2.57

---

# 3
Computed, not measured: a relaxed structure of LiScBiRu2 at the PBE level of DFT.

Calculated values
VASP energy in eV per cell: -26.4
ΔH_f (0 K) in kJ/mol of atoms: 83.2
Theoretical density in g/cm3: 7.5

Cell lengths 4.6713, 4.6713, 4.7248 Å; angles 90.00, 90.00, 90.00 degrees
Closest atoms and distances in Å follow each position.
Fractional coordinates of all 5 atoms:
Li1 0.0000 0.0000 0.0000  2 Sc 2.36
Sc1 0.0000 0.0000 0.5000  4 Ru 2.34, 2 Li 2.36
Bi1 0.5000 0.5000 0.0000  4 Li 3.30, 8 Ru 3.32
Ru1 0.0000 0.5000 0.5000  2 Sc 2.34
Ru2 0.5000 0.0000 0.5000  2 Sc 2.34

---

# 4
Computed, not measured: a relaxed structure of Cs2LiGeAs2 at the PBE level of DFT.

Calculated values
VASP energy in eV per cell: -40.0
ΔH_f (0 K) in kJ/mol of atoms: -39.9
Theoretical density in g/cm3: 4.3

Cell lengths 9.7135, 9.7135, 9.7135 Å; angles 139.67, 58.26, 139.79 degrees
Closest atoms and distances in Å follow each position.
Fractional coordinates of all 12 atoms:
Cs1 0.1679 0.2361 0.4039  2 Li 3.66, 4 As 3.67-3.68, 2 Ge 3.74
Cs2 0.3321 0.7361 0.0682  2 Li 3.66, 4 As 3.67-3.68, 2 Ge 3.74
Cs3 0.6679 0.2639 0.9318  2 Li 3.66, 4 As 3.67-3.68, 2 Ge 3.74
Cs4 0.8321 0.7639 0.5961  2 Li 3.66, 4 As 3.67-3.68, 2 Ge 3.74
Li1 0.2500 0.2500 0.0000  4 As 2.78
Li2 0.7500 0.7500 0.0000  4 As 2.78
Ge1 0.2500 0.7500 0.5000  4 As 2.66
Ge2 0.7500 0.2500 0.5000  4 As 2.66
As1 0.0792 0.7354 0.8146  2 Ge 2.66, 2 Li 2.78
As2 0.4208 0.2354 0.6562  2 Ge 2.66, 2 Li 2.78
As3 0.5792 0.7646 0.3438  2 Ge 2.66, 2 Li 2.78
As4 0.9208 0.2646 0.1854  2 Ge 2.66, 2 Li 2.78

---

# 5
Computed, not measured: a relaxed structure of Y2TaBeRh6 at the PBE level of DFT.

Calculated values
VASP energy in eV per cell: -76.7
ΔH_f (0 K) in kJ/mol of atoms: -39.6
Theoretical density in g/cm3: 9.1

Cell lengths 5.8485, 5.8485, 6.9122 Å; angles 114.87, 114.87, 60.28 degrees
Closest atoms and distances in Å follow each position.
Fractional coordinates of all 10 atoms:
Y1 0.2238 0.2238 0.1714  9 Rh 3.04-3.40
Y2 0.7762 0.7762 0.8286  9 Rh 3.04-3.40
Ta1 0.5000 0.5000 0.0000  6 Rh 2.46-2.47
Be1 0.0000 0.0000 0.5000  6 Rh 2.11
Rh1 0.2373 0.2373 0.6942  1 Be 2.11
Rh2 0.2373 0.7151 0.6909  1 Be 2.11
Rh3 0.2849 0.7627 0.3091  1 Be 2.11
Rh4 0.7151 0.2373 0.6909  1 Be 2.11
Rh5 0.7627 0.2849 0.3091  1 Be 2.11
Rh6 0.7627 0.7627 0.3058  1 Be 2.11

---

# 6
Computed, not measured: a relaxed structure of Al2GeRuAu at the PBE level of DFT.

Calculated values
VASP energy in eV per cell: -24.5
ΔH_f (0 K) in kJ/mol of atoms: 3.5
Theoretical density in g/cm3: 6.8

Cell lengths 4.7325, 4.7325, 4.6534 Å; angles 90.00, 90.00, 90.00 degrees
Closest atoms and distances in Å follow each position.
Fractional coordinates of all 5 atoms:
Al1 0.0000 0.5000 0.0000  2 Ru 2.37
Al2 0.5000 0.0000 0.0000  2 Ru 2.37
Ge1 0.0000 0.0000 0.5000  2 Ru 2.33
Ru1 0.0000 0.0000 0.0000  2 Ge 2.33, 4 Al 2.37
Au1 0.5000 0.5000 0.5000  8 Al 3.32, 4 Ge 3.35

---

# 7
Computed, not measured: a relaxed structure of ErTm2SnC at the PBE level of DFT.

Calculated values
VASP energy in eV per cell: -30.0
ΔH_f (0 K) in kJ/mol of atoms: -63.8
Theoretical density in g/cm3: 9.4

Cell lengths 4.8081, 4.8081, 4.8356 Å; angles 90.00, 90.00, 90.00 degrees
Closest atoms and distances in Å follow each position.
Fractional coordinates of all 5 atoms:
Er1 0.0000 0.0000 0.0000  2 C 2.42
Tm1 0.0000 0.5000 0.5000  2 C 2.40
Tm2 0.5000 0.0000 0.5000  2 C 2.40
Sn1 0.5000 0.5000 0.0000  4 Er 3.40, 8 Tm 3.41
C1 0.0000 0.0000 0.5000  4 Tm 2.40, 2 Er 2.42

---

# 8
Computed, not measured: a relaxed structure of AcPaTc4 at the PBE level of DFT.

Calculated values
VASP energy in eV per cell: -54.2
ΔH_f (0 K) in kJ/mol of atoms: 13.3
Theoretical density in g/cm3: 12.1

Cell lengths 5.4843, 5.4843, 5.4843 Å; angles 60.00, 60.00, 60.00 degrees
Closest atoms and distances in Å follow each position.
Fractional coordinates of all 6 atoms:
Ac1 0.0000 0.0000 0.0000  12 Tc 3.22, 4 Pa 3.36
Pa1 0.2500 0.2500 0.2500  12 Tc 3.21, 4 Ac 3.36
Tc1 0.1261 0.6246 0.6246  6 Tc 2.73-2.75
Tc2 0.6246 0.1261 0.6246  6 Tc 2.73-2.75
Tc3 0.6246 0.6246 0.1261  6 Tc 2.73-2.75
Tc4 0.6246 0.6246 0.6246  6 Tc 2.73-2.75

---

Number 1: density of states at the Fermi level 4.08 states/eV per cell. Number 2: density of states at the Fermi level 5.90 states/eV per cell. Number 3: density of states at the Fermi level 4.70 states/eV per cell. Number 4: density of states at the Fermi level 4.27 states/eV per cell. Number 5: density of states at the Fermi level 8.36 states/eV per cell. Number 6: density of states at the Fermi level 1.61 states/eV per cell. Number 7: density of states at the Fermi level 1.98 states/eV per cell. Number 8: density of states at the Fermi level 13.10 states/eV per cell.